# PBE-GGA Na3Ti5F12, optimized geometry
# - formation energy without anion corrections (eV/atom) = -2.521
# - final energy (eV/atom) = -5.82
# - M_tot (μB per formula unit) = 10.26
data_Na3Ti5F12
_chemical_formula_sum 'Na24 Ti40 F96'
_symmetry_space_group_name_H-M 'I a -3 d'
_symmetry_Int_Tables_number 230
_symmetry_space_group_name_Hall '-I 4bd 2c 3'
_cell_length_a 13.2535
_cell_length_b 13.2535
_cell_length_c 13.2535
_cell_angle_alpha 90.00
_cell_angle_beta 90.00
_cell_angle_gamma 90.00
loop_
_atom_site_label
_atom_site_type_symbol
_atom_site_fract_x
_atom_site_fract_y
_atom_site_fract_z
_atom_site_occupancy
Na1 Na 0.0000 0.2500 0.1250 1
Ti1 Ti 0.0000 0.0000 0.0000 1
Ti2 Ti 0.0000 0.2500 0.3750 1
F1 F 0.0102 0.0414 0.6556 1

# PBE-GGA NaTiF2, optimized geometry
# - formation energy without anion corrections (eV/atom) = -2.263
# - final energy (eV/atom) = -5.50
# - energy above the lowest structure with this stoichiometry (eV per formula unit) = 0.00
# - M_tot (μB per formula unit) = 1.01
data_NaTiF2
_chemical_formula_sum 'Na3 Ti3 F6'
_symmetry_space_group_name_H-M 'R -3 m'
_symmetry_Int_Tables_number 166
_symmetry_space_group_name_Hall '-R 3 2"'
_cell_length_a 3.2023
_cell_length_b 3.2023
_cell_length_c 19.5429
_cell_angle_alpha 90.00
_cell_angle_beta 90.00
_cell_angle_gamma 120.00
loop_
_atom_site_label
_atom_site_type_symbol
_atom_site_fract_x
_atom_site_fract_y
_atom_site_fract_z
_atom_site_occupancy
Na1 Na 0.0000 0.0000 0.0000 1
Ti1 Ti 0.0000 0.0000 0.5000 1
F1 F 0.0000 0.0000 0.4000 1